Here is a relaxed Ac2CrAuO6 crystal from the Alexandria database. Energies are from GGA+U.

As for the final energy: -6.898 eV per atom.

The space group is P4mm (No. 99) and the conventional cell measures 5.6802, 5.6802 and 4.9536 Å, with angles of 90.00, 90.00 and 90.00 degrees. The distinct sites, in fractional coordinates, are Ac at (0.0000, 0.5000, 0.0000), Cr at (0.0000, 0.0000, 0.5893), Au at (0.5000, 0.5000, 0.4851), O at (0.0000, 0.0000, 0.2421), O at (0.2181, 0.2181, 0.7140) and O at (0.5000, 0.5000, 0.0662).